No. 1
First-principles (PBE) data for La2Cd2Pt after structural relaxation, as listed in the Alexandria database.

Cell and atoms, written as POSCAR:
```
La2Cd2Pt
1.0
-2.1200 2.1200 7.5032
2.1200 -2.1200 7.5032
2.1200 2.1200 -7.5032
La Cd Pt
2 2 1
Cartesian
2.1200 0.0000 3.7516
0.0000 2.1200 3.7516
0.0000 0.0000 1.2926
0.0000 0.0000 13.7138
0.0000 0.0000 7.5032
```

Its energy of formation from the pure elements is 350 meV per atom. For the relative energy among the computed polymorphs, the calculation gives 716 meV per atom. The value obtained for the volume is 134.89 Å³ per cell. As for the space group: No. 139.

=====

No. 2
First-principles (PBE) data for TbDy4Sn2 after structural relaxation, as listed in the Alexandria database.

Cell and atoms, written as POSCAR:
```
TbDy4Sn2
1.0
-2.6620 2.6620 8.1798
2.6620 -2.6620 8.1798
2.6620 2.6620 -8.1798
Tb Dy Sn
1 4 2
Cartesian
0.0000 0.0000 0.0000
2.6620 0.0000 0.0000
0.0000 0.0000 3.0299
0.0000 2.6620 0.0000
0.0000 0.0000 13.3296
0.0000 0.0000 6.0705
0.0000 0.0000 10.2890
```

Its energy of formation from the pure elements is 382 meV per atom. The value obtained for the volume is 231.86 Å³ per cell. As for the space group: No. 139.

=====

No. 3
First-principles (PBE) data for CsBaIn2 after structural relaxation, as listed in the Alexandria database.

Cell and atoms, written as POSCAR:
```
CsBaIn2
1.0
-5.0438 5.0438 3.7349
5.0438 -5.0438 3.7349
5.0438 5.0438 -3.7349
Cs Ba In
2 2 4
Cartesian
0.0000 0.0000 0.0000
0.0000 5.0438 1.8674
5.0438 0.0000 1.8674
0.0000 0.0000 3.7349
2.5219 2.7917 -0.9337
7.2960 2.5219 0.9337
2.5219 2.2521 2.8012
-2.2521 2.5219 4.6686
```

Its energy of formation from the pure elements is 175 meV per atom. For the relative energy among the computed polymorphs, the calculation gives 237 meV per atom. The value obtained for the volume is 380.06 Å³ per cell. As for the space group: No. 122.

=====

Number 1: N(E_F) 3.8 states/eV per cell, magnetic moment 0.00 μB/f.u.. Number 2: N(E_F) 8.4 states/eV per cell, magnetic moment 0.00 μB/f.u.. Number 3: N(E_F) 15.8 states/eV per cell, magnetic moment 0.00 μB/f.u..